The following is a GGA-PBE calculation of a relaxed structure of ReHgRu, from Alexandria via LeMat-Bulk.

## Properties
Its formation enthalpy at 0 K is 0.612 eV per atom. The calculation puts the energy above the lowest structure with this stoichiometry at 0.265 eV/atom. Its space group is Fmm2 (42).

Lattice parameters (Å, degrees): 7.6679 7.4188 2.8135 84.28 74.30 21.41
Positions (direct):
Ru 0.6776 0.6776 0.3224
Re 0.3206 0.3206 0.6794
Hg 0.0019 0.0019 0.9981